## Sr2Ge3 (GGA-PBE)

Data for a relaxed Sr2Ge3 crystal.

Geometry as POSCAR:
```
Sr2Ge3
1.0
2.352 -13.863 0.000
2.352 13.863 0.000
0.000 0.000 4.241
Sr Ge
4 6
Direct
0.074 0.926 0.750
0.202 0.798 0.250
0.798 0.202 0.750
0.926 0.074 0.250
0.323 0.677 0.250
0.379 0.621 0.750
0.474 0.526 0.750
0.526 0.474 0.250
0.621 0.379 0.250
0.677 0.323 0.750
```

For the energy of formation, the calculation gives -50 kJ/mol of atoms. The value obtained for the total energy is -3.96 eV per atom.

## Th2TeAs (GGA-PBE)

Data for a relaxed Th2TeAs crystal.

Geometry as POSCAR:
```
Th2TeAs
1.0
0.000 3.758 3.758
3.758 0.000 3.758
3.758 3.758 0.000
Th Te As
2 1 1
Direct
0.250 0.250 0.250
0.750 0.750 0.750
0.000 0.000 0.000
0.500 0.500 0.500
```

The value obtained for the total energy is -6.74 eV per atom.

## SiHgRh2 (GGA-PBE)

Data for a relaxed SiHgRh2 crystal.

Geometry as POSCAR:
```
SiHgRh2
1.0
3.035 -3.349 0.000
3.035 3.349 0.000
0.000 0.000 3.030
Si Hg Rh
1 1 2
Direct
0.000 0.000 0.000
0.500 0.500 0.000
0.000 0.500 0.500
0.500 0.000 0.500
```

The value obtained for the total energy is -5.17 eV per atom.

## Sm2Ho2Er (GGA-PBE)

Data for a relaxed Sm2Ho2Er crystal.

Geometry as POSCAR:
```
Sm2Ho2Er
1.0
-1.809 2.839 15.771
1.809 -2.839 15.771
1.809 2.839 -15.771
Sm Ho Er
4 4 2
Direct
0.272 0.022 0.250
0.371 0.121 0.250
0.629 0.879 0.750
0.728 0.978 0.750
0.055 0.805 0.250
0.459 0.709 0.750
0.541 0.291 0.250
0.945 0.195 0.750
0.170 0.420 0.750
0.830 0.580 0.250
```

For the energy of formation, the calculation gives 13 kJ/mol of atoms. The value obtained for the total energy is -4.50 eV per atom.